A geometry-optimized Cr2GaI structure, computed with PBE.

## Properties
As for the density: 8.02 g/cm3. For the formation energy (no corrections), the calculation gives 0.823 eV/atom. The calculation puts the energy at -82.13 eV for the cell shown. For the density of states at the Fermi level, the calculation gives 2.2 states/eV/f.u. As for the excess energy over the best structure of this formula in the dataset: 0.000 eV/atom.

Unit cell a=6.2901 b=6.2901 c=6.2901 alpha=90.00 beta=90.00 gamma=90.00
With the nearest neighbours (Å) after each atom.
Atoms (fractional coordinates):
Cr 0.2500 0.2500 0.2500  4 I 2.72, 4 Ga 2.72
Cr 0.2500 0.2500 0.7500  4 I 2.72, 4 Ga 2.72
Cr 0.2500 0.7500 0.2500  4 Ga 2.72, 4 I 2.72
Cr 0.2500 0.7500 0.7500  4 I 2.72, 4 Ga 2.72
Cr 0.7500 0.2500 0.2500  4 Ga 2.72, 4 I 2.72
Cr 0.7500 0.2500 0.7500  4 I 2.72, 4 Ga 2.72
Cr 0.7500 0.7500 0.2500  4 I 2.72, 4 Ga 2.72
Cr 0.7500 0.7500 0.7500  4 Ga 2.72, 4 I 2.72
Ga 0.0000 0.0000 0.0000  8 Cr 2.72
Ga 0.0000 0.5000 0.5000  8 Cr 2.72
Ga 0.5000 0.0000 0.5000  8 Cr 2.72
Ga 0.5000 0.5000 0.0000  8 Cr 2.72
I 0.0000 0.0000 0.5000  8 Cr 2.72
I 0.0000 0.5000 0.0000  8 Cr 2.72
I 0.5000 0.0000 0.0000  8 Cr 2.72
I 0.5000 0.5000 0.5000  8 Cr 2.72